No. 1
A relaxed Ce2YN crystal. Source: Alexandria, functional GGA-PBE.

The structure belongs to space group R-3m (No. 166, hexagonal axes); the cell edges are 3.5089, 3.5089 and 27.9935 Å and the angles 90.00°, 90.00° and 120.00°. Symmetry generates all atoms from Ce at (0.0000, 0.0000, 0.2171), Y at (0.0000, 0.0000, 0.0000) and N at (0.0000, 0.0000, 0.5000).

The formation energy (no corrections) is -0.612 eV/atom. The total magnetization comes out at 0.440 μB per atom.


No. 2
A relaxed Pr6BiBr8 crystal. Source: Alexandria, functional GGA-PBE.

The structure belongs to space group R-3 (No. 148, hexagonal axes); the cell edges are 7.4744, 7.4744 and 32.6120 Å and the angles 90.00°, 90.00° and 120.00°. Symmetry generates all atoms from Pr at (0.9995, 0.3496, 0.0529), Bi at (0.0000, 0.0000, 0.0000), Br at (0.0000, 0.0000, 0.3335) and Br at (0.9997, 0.3212, 0.8915).

The formation energy (no corrections) is -1.413 eV/atom. The total magnetization comes out at 0.000 μB per atom.


No. 3
A relaxed LiRuRh crystal. Source: Alexandria, functional GGA-PBE.

The structure belongs to space group P1 (No. 1); the cell edges are 4.5571, 4.6261 and 4.7040 Å and the angles 99.11°, 100.99° and 118.89°. Symmetry generates all atoms from Li at (0.0000, 0.0000, 0.0000), Li at (0.3293, 0.6720, 0.9983), Ru at (0.2099, 0.8289, 0.5075), Ru at (0.5416, 0.5159, 0.4886), Rh at (0.6469, 0.3315, 0.9840) and Rh at (0.8708, 0.1766, 0.4927).

Its formation energy is 6.8 kJ/mol of atoms. The total magnetization comes out at 0.000 μB per atom. As for the distance to the lowest polymorph of the same formula: 43 meV per atom.


No. 4
A relaxed Sr3AlGa2 crystal. Source: Alexandria, functional GGA-PBE.

The structure belongs to space group P2_1/c (No. 14); the cell edges are 7.3975, 9.1343 and 10.9428 Å and the angles 90.00°, 90.86° and 90.00°. Symmetry generates all atoms from Sr at (0.1591, 0.2410, 0.1282), Sr at (0.3124, 0.5320, 0.3770), Sr at (0.3301, 0.5354, 0.8711), Al at (0.0835, 0.6008, 0.1148), Ga at (0.0795, 0.6147, 0.6281) and Ga at (0.4026, 0.7476, 0.1245).

Its formation energy is -29.9 kJ/mol of atoms. The total magnetization comes out at 0.000 μB per atom.


No. 5
A relaxed AlHgMo2 crystal. Source: Alexandria, functional GGA-PBE.

The structure belongs to space group Cmmm (No. 65); the cell edges are 5.4740, 8.7014 and 2.8078 Å and the angles 90.00°, 90.00° and 90.00°. Symmetry generates all atoms from Al at (0.0000, 0.0000, 0.0000), Hg at (0.0000, 0.5000, 0.0000) and Mo at (0.2500, 0.2500, 0.5000).

Its formation energy is 31.0 kJ/mol of atoms. The total magnetization comes out at 0.000 μB per atom. As for the distance to the lowest polymorph of the same formula: 171 meV per atom.


No. 6
A relaxed MgCrSi2 crystal. Source: Alexandria, functional GGA-PBE.

The structure belongs to space group R3m (No. 160, hexagonal axes); the cell edges are 2.8934, 2.8934 and 25.0732 Å and the angles 90.00°, 90.00° and 120.00°. Symmetry generates all atoms from Mg at (0.0000, 0.0000, 0.0000), Cr at (0.0000, 0.0000, 0.2421), Si at (0.0000, 0.0000, 0.5033) and Si at (0.0000, 0.0000, 0.7583).

The formation energy (no corrections) is 0.328 eV/atom. The total magnetization comes out at 0.485 μB per atom.


No. 7
A relaxed CaTmMg2Cd4 crystal. Source: Alexandria, functional GGA-PBE.

The structure belongs to space group R-3m (No. 166, hexagonal axes); the cell edges are 5.0902, 5.0902 and 25.1506 Å and the angles 90.00°, 90.00° and 120.00°. Symmetry generates all atoms from Ca at (0.0000, 0.0000, 0.0000), Tm at (0.0000, 0.0000, 0.5000), Mg at (0.0000, 0.0000, 0.2491), Cd at (0.0000, 0.0000, 0.1259) and Cd at (0.0000, 0.0000, 0.3769).

Its formation energy is -26.5 kJ/mol of atoms. The total magnetization comes out at 0.000 μB per atom.


No. 8
A relaxed Mg8Sn3Ge crystal. Source: Alexandria, functional GGA-PBE.

The structure belongs to space group Pm-3m (No. 221); the cell edges are 6.7124, 6.7124 and 6.7124 Å and the angles 90.00°, 90.00° and 90.00°. Symmetry generates all atoms from Mg at (0.2447, 0.2447, 0.2447), Sn at (0.0000, 0.5000, 0.5000) and Ge at (0.0000, 0.0000, 0.0000).

Its formation energy is -19.5 kJ/mol of atoms. The total magnetization comes out at 0.000 μB per atom.


No. 9
A relaxed Sm3ZnCu crystal. Source: Alexandria, functional GGA-PBE.

The structure belongs to space group Cmcm (No. 63); the cell edges are 5.1087, 19.5206 and 5.1095 Å and the angles 90.00°, 90.00° and 90.00°. Symmetry generates all atoms from Sm at (0.0000, 0.0676, 0.2500), Sm at (0.0000, 0.2491, 0.2500), Sm at (0.0000, 0.4303, 0.2500), Zn at (0.0000, 0.1577, 0.7500) and Cu at (0.0000, 0.3378, 0.7500).

Its formation energy is -17.8 kJ/mol of atoms. The total magnetization comes out at 0.000 μB per atom.


No. 10
A relaxed CoHgMo2 crystal. Source: Alexandria, functional GGA-PBE.

The structure belongs to space group R-3m (No. 166, hexagonal axes); the cell edges are 2.8026, 2.8026 and 27.9287 Å and the angles 90.00°, 90.00° and 120.00°. Symmetry generates all atoms from Co at (0.0000, 0.0000, 0.0000), Hg at (0.0000, 0.0000, 0.5000) and Mo at (0.0000, 0.0000, 0.2597).

Its formation energy is 47.4 kJ/mol of atoms. The total magnetization comes out at 0.169 μB per atom.


No. 11
A relaxed ZnCdBi3 crystal. Source: Alexandria, functional GGA-PBE.

The structure belongs to space group Pm-3m (No. 221); the cell edges are 5.4455, 5.4455 and 5.4455 Å and the angles 90.00°, 90.00° and 90.00°. Symmetry generates all atoms from Zn at (0.0000, 0.0000, 0.0000), Cd at (0.5000, 0.5000, 0.5000) and Bi at (0.0000, 0.0000, 0.5000).

Its formation energy is 46.9 kJ/mol of atoms. The total magnetization comes out at 0.000 μB per atom. As for the distance to the lowest polymorph of the same formula: 0 meV per atom.


No. 12
A relaxed CsAgAsF6 crystal. Source: Alexandria, functional GGA-PBE.

The structure belongs to space group C2 (No. 5); the cell edges are 6.0863, 10.6154 and 6.0416 Å and the angles 90.00°, 90.22° and 90.00°. Symmetry generates all atoms from Cs at (0.0000, 0.0000, 0.0000), Ag at (0.0000, 0.3344, 0.5000), As at (0.0000, 0.6662, 0.5000), F at (0.1178, 0.5341, 0.3165), F at (0.1365, 0.7919, 0.3162) and F at (0.2377, 0.1722, 0.3210).

The formation energy (no corrections) is -2.014 eV/atom. The total magnetization comes out at 0.107 μB per atom.